1.
Below is a geometry-optimized K2WS5 structure, with properties calculated at the PBE level.

The density of states at the Fermi level is 1.90 states/eV/cell. For the uncorrected formation energy, the calculation gives -693 meV/atom.

The structure belongs to space group P1 (No. 1); the cell edges are 5.1382, 6.9072 and 7.9254 Å and the angles 114.80°, 90.22° and 111.63°. The inequivalent atoms are K at (0.0000, 0.0000, 0.0000), K at (0.3664, 0.7256, 0.3253), W at (0.1320, 0.2582, 0.6332), S at (0.4233, 0.2855, 0.4096), S at (0.5154, 0.4698, 0.8923), S at (0.8653, 0.2852, 0.4095), S at (0.9504, 0.8918, 0.5815) and S at (0.9609, 0.4694, 0.8923).

=====

2.
Below is a geometry-optimized CsRuOF2 structure, with properties calculated at the PBE level.

The density of states at the Fermi level is 6.70 states/eV/cell. The value obtained for the energy above the most stable polymorph in this dataset is 9.43 eV per formula unit. For the uncorrected formation energy, the calculation gives 305 meV/atom.

The structure belongs to space group P4/mmm (No. 123); the cell edges are 5.2117, 5.2117 and 4.3208 Å and the angles 90.00°, 90.00° and 90.00°. The inequivalent atoms are Cs at (0.0000, 0.0000, 0.0000), Ru at (0.5000, 0.5000, 0.5000), O at (0.0000, 0.0000, 0.5000) and F at (0.0000, 0.5000, 0.0000).

=====

3.
Below is a geometry-optimized LiYCdS2 structure, with properties calculated at the PBE level.

The density of states at the Fermi level is 2.45 states/eV/cell. The value obtained for the energy above the most stable polymorph in this dataset is 1.17 eV per formula unit. For the uncorrected formation energy, the calculation gives -311 meV/atom.

The structure belongs to space group P4/mmm (No. 123); the cell edges are 5.1503, 5.1503 and 6.6093 Å and the angles 90.00°, 90.00° and 90.00°. The inequivalent atoms are Li at (0.0000, 0.0000, 0.0000), Y at (0.0000, 0.0000, 0.5000), Cd at (0.5000, 0.5000, 0.0000) and S at (0.0000, 0.5000, 0.5000).

=====

4.
Below is a geometry-optimized La5Dy4Ho structure, with properties calculated at the PBE level.

The density of states at the Fermi level is 16.48 states/eV/cell. As for the formation energy: 0.2 eV per formula unit.

The structure belongs to space group P4/mmm (No. 123); the cell edges are 3.6950, 3.6950 and 25.0792 Å and the angles 90.00°, 90.00° and 90.00°. The inequivalent atoms are La at (0.0000, 0.0000, 0.0000), La at (0.0000, 0.0000, 0.2000), La at (0.0000, 0.0000, 0.4003), Dy at (0.5000, 0.5000, 0.0999), Dy at (0.5000, 0.5000, 0.3002) and Ho at (0.5000, 0.5000, 0.5000).

=====

5.
Below is a geometry-optimized La2Ni3Ir structure, with properties calculated at the PBE level.

The density of states at the Fermi level is 13.63 states/eV/cell. The value obtained for the energy above the most stable polymorph in this dataset is 0.00 eV per formula unit. As for the formation energy: -2.7 eV per formula unit.

The structure belongs to space group R-3m (No. 166, hexagonal axes); the cell edges are 5.2306, 5.2306 and 13.1381 Å and the angles 90.00°, 90.00° and 120.00°. The inequivalent atoms are La at (0.0000, 0.0000, 0.1246), Ni at (0.0000, 0.5000, 0.0000) and Ir at (0.0000, 0.0000, 0.5000).

=====

6.
Below is a geometry-optimized Pu3Ni8Sn structure, with properties calculated at the PBE level.

The density of states at the Fermi level is 97.96 states/eV/cell. As for the formation energy: -3.1 eV per formula unit.

The structure belongs to space group R3m (No. 160, hexagonal axes); the cell edges are 5.0171, 5.0171 and 24.5668 Å and the angles 90.00°, 90.00° and 120.00°. The inequivalent atoms are Pu at (0.0000, 0.0000, 0.0000), Pu at (0.0000, 0.0000, 0.1247), Pu at (0.0000, 0.0000, 0.6273), Ni at (0.0000, 0.0000, 0.3130), Ni at (0.0000, 0.0000, 0.8132), Ni at (0.0021, 0.5011, 0.0643), Ni at (0.1673, 0.3346, 0.8955) and Sn at (0.0000, 0.0000, 0.5016).

=====

7.
Below is a geometry-optimized CaPr3Y2Te6 structure, with properties calculated at the PBE level.

The density of states at the Fermi level is 12.00 states/eV/cell. For the uncorrected formation energy, the calculation gives -1428 meV/atom.

The structure belongs to space group C2/m (No. 12); the cell edges are 19.5632, 4.4302 and 9.0263 Å and the angles 90.00°, 104.39° and 90.00°. The inequivalent atoms are Ca at (0.0000, 0.0000, 0.0000), Pr at (0.0000, 0.0000, 0.5000), Pr at (0.1653, 0.5000, 0.8263), Y at (0.1689, 0.5000, 0.3379), Te at (0.0047, 0.5000, 0.2449), Te at (0.1650, 0.0000, 0.0900) and Te at (0.1686, 0.0000, 0.5743).

=====

8.
Below is a geometry-optimized AcCeCd structure, with properties calculated at the PBE level.

The density of states at the Fermi level is 15.20 states/eV/cell. The value obtained for the energy above the most stable polymorph in this dataset is 0.00 eV per formula unit. As for the formation energy: -0.2 eV per formula unit.

The structure belongs to space group I4mm (No. 107); the cell edges are 3.9297, 3.9297 and 13.0831 Å and the angles 90.00°, 90.00° and 90.00°. The inequivalent atoms are Ac at (0.0000, 0.0000, 0.0000), Ce at (0.0000, 0.0000, 0.3024) and Cd at (0.0000, 0.0000, 0.6659).

=====

9.
Below is a geometry-optimized LiBrO6 structure, with properties calculated at the PBE level.

For the uncorrected formation energy, the calculation gives 170 meV/atom.

The structure belongs to space group C2/m (No. 12); the cell edges are 5.5707, 7.1217 and 5.7232 Å and the angles 90.00°, 118.25° and 90.00°. The inequivalent atoms are Li at (0.0000, 0.0000, 0.0000), Br at (0.0000, 0.5000, 0.5000), O at (0.1049, 0.0000, 0.6086) and O at (0.1874, 0.3301, 0.7344).

=====

10.
Below is a geometry-optimized LaPm4Ru structure, with properties calculated at the PBE level.

The density of states at the Fermi level is 36.08 states/eV/cell. As for the formation energy: -0.3 eV per formula unit.

The structure belongs to space group Immm (No. 71); the cell edges are 6.1365, 7.6225 and 16.5753 Å and the angles 90.00°, 90.00° and 90.00°. The inequivalent atoms are La at (0.0000, 0.0000, 0.2006), Pm at (0.0000, 0.2078, 0.0000), Pm at (0.0000, 0.2438, 0.3887), Pm at (0.0000, 0.5000, 0.1683) and Ru at (0.2420, 0.0000, 0.5000).

=====

11.
Below is a geometry-optimized Be3TeF structure, with properties calculated at the PBE level.

The density of states at the Fermi level is 3.38 states/eV/cell. The value obtained for the energy above the most stable polymorph in this dataset is 0.00 eV per formula unit. For the uncorrected formation energy, the calculation gives 369 meV/atom.

The structure belongs to space group Pm-3m (No. 221); the cell edges are 4.1050, 4.1050 and 4.1050 Å and the angles 90.00°, 90.00° and 90.00°. The inequivalent atoms are Be at (0.0000, 0.0000, 0.5000), Te at (0.5000, 0.5000, 0.5000) and F at (0.0000, 0.0000, 0.0000).

=====

12.
Below is a geometry-optimized Zr2CuPt structure, with properties calculated at the PBE level.

The density of states at the Fermi level is 6.98 states/eV/cell. As for the formation energy: 1.4 eV per formula unit.

The structure belongs to space group Immm (No. 71); the cell edges are 2.9312, 4.9532 and 10.6878 Å and the angles 90.00°, 90.00° and 90.00°. The inequivalent atoms are Zr at (0.0000, 0.0000, 0.2478), Cu at (0.0000, 0.0000, 0.0000) and Pt at (0.0000, 0.0000, 0.5000).